Material: BaZrCl2
Method: DFT, PBE
State: optimized geometry

Density ... 5.179 g/cm³
Total magnetization ... 0.55 μB/f.u.
Space group ... P4/mmm (123)
Energy relative to the lowest polymorph listed for this composition ... 317 meV per atom

Cell lengths 3.415, 3.415, 8.231 Å; angles 90.00, 90.00, 90.00 degrees
Element x y z (fractional)
Ba (0.000, 0.000, 0.000)
Zr (0.000, 0.000, 0.500)
Cl (0.500, 0.500, 0.314)
Cl (0.500, 0.500, 0.686)

Material: Pm6HgRh3
Method: DFT, PBE
State: optimized geometry

Density ... 7.991 g/cm³
Total magnetization ... 0.00 μB/f.u.
E_form ... -462.7 meV/atom
Space group ... Cmc2_1 (36)
Energy relative to the lowest polymorph listed for this composition ... 80 meV per atom

Cell lengths 8.928, 8.928, 7.407 Å; angles 90.00, 90.00, 103.86 degrees
Element x y z (fractional)
Pm (0.014, 0.986, 0.500)
Pm (0.091, 0.525, 0.524)
Pm (0.225, 0.775, 0.177)
Pm (0.302, 0.367, 0.099)
Pm (0.367, 0.302, 0.599)
Pm (0.475, 0.909, 0.524)
Pm (0.525, 0.091, 0.024)
Pm (0.633, 0.698, 0.099)
Pm (0.698, 0.633, 0.599)
Pm (0.775, 0.225, 0.677)
Pm (0.909, 0.475, 0.024)
Pm (0.986, 0.014, 0.000)
Hg (0.185, 0.815, 0.774)
Hg (0.815, 0.185, 0.274)
Rh (0.082, 0.295, 0.796)
Rh (0.295, 0.082, 0.296)
Rh (0.401, 0.599, 0.378)
Rh (0.599, 0.401, 0.878)
Rh (0.705, 0.918, 0.796)
Rh (0.918, 0.705, 0.296)

Material: HfBe17Al
Method: DFT, PBE
State: optimized geometry

Density ... 3.437 g/cm³
Total magnetization ... 0.00 μB/f.u.
E_form ... -87.3 meV/atom
Space group ... R3m (160)

Cell lengths 5.615, 5.615, 5.615 Å; angles 82.93, 82.93, 82.93 degrees
Element x y z (fractional)
Hf (0.000, 0.000, 0.000)
Be (0.043, 0.343, 0.632)
Be (0.043, 0.632, 0.343)
Be (0.182, 0.683, 0.683)
Be (0.240, 0.240, 0.240)
Be (0.330, 0.330, 0.843)
Be (0.330, 0.843, 0.330)
Be (0.343, 0.043, 0.632)
Be (0.343, 0.632, 0.043)
Be (0.440, 0.440, 0.440)
Be (0.498, 0.997, 0.997)
Be (0.632, 0.043, 0.343)
Be (0.632, 0.343, 0.043)
Be (0.683, 0.182, 0.683)
Be (0.683, 0.683, 0.182)
Be (0.843, 0.330, 0.330)
Be (0.997, 0.498, 0.997)
Be (0.997, 0.997, 0.498)
Al (0.707, 0.707, 0.707)

Material: TaSiMoPd2
Method: DFT, PBE
State: optimized geometry

Total energy ... -7.07 eV per atom
Density ... 9.475 g/cm³
Total magnetization ... 1.13 μB/f.u.
Space group ... P4/mmm (123)

Cell lengths 4.369, 4.369, 4.755 Å; angles 90.00, 90.00, 90.00 degrees
Element x y z (fractional)
Ta (0.000, 0.000, 0.000)
Si (0.000, 0.000, 0.500)
Mo (0.500, 0.500, 0.000)
Pd (0.000, 0.500, 0.500)
Pd (0.500, 0.000, 0.500)

Material: AcLa5In2
Method: DFT, PBE
State: optimized geometry

Density ... 7.155 g/cm³
Total magnetization ... 0.00 μB/f.u.
E_form ... -277.3 meV/atom
Space group ... Pbam (55)
Energy relative to the lowest polymorph listed for this composition ... 0 meV per atom

Cell lengths 7.233, 14.462, 5.108 Å; angles 90.00, 90.00, 90.00 degrees
Element x y z (fractional)
Ac (0.000, 0.000, 0.000)
Ac (0.500, 0.500, 0.000)
La (0.000, 0.500, 0.000)
La (0.002, 0.252, 0.000)
La (0.243, 0.371, 0.500)
La (0.257, 0.871, 0.500)
La (0.498, 0.752, 0.000)
La (0.500, 0.000, 0.000)
La (0.502, 0.248, 0.000)
La (0.743, 0.129, 0.500)
La (0.757, 0.629, 0.500)
La (0.998, 0.748, 0.000)
In (0.247, 0.626, 0.500)
In (0.253, 0.126, 0.500)
In (0.747, 0.874, 0.500)
In (0.753, 0.374, 0.500)

Material: CeNdTm
Method: DFT, PBE
State: optimized geometry

Density ... 7.908 g/cm³
Total magnetization ... 0.10 μB/f.u.
E_form ... 240.0 meV/atom
Space group ... R-3m (166)
Energy relative to the lowest polymorph listed for this composition ... 192 meV per atom

Cell lengths 15.466, 15.466, 15.466 Å; angles 24.77, 24.77, 24.77 degrees
Element x y z (fractional)
Ce (0.000, 0.000, 0.000)
Ce (0.000, 0.000, 0.500)
Ce (0.000, 0.500, 0.000)
Ce (0.121, 0.121, 0.121)
Ce (0.500, 0.000, 0.000)
Ce (0.879, 0.879, 0.879)
Nd (0.230, 0.230, 0.711)
Nd (0.230, 0.711, 0.230)
Nd (0.289, 0.770, 0.770)
Nd (0.711, 0.230, 0.230)
Nd (0.770, 0.289, 0.770)
Nd (0.770, 0.770, 0.289)
Tm (0.236, 0.236, 0.236)
Tm (0.318, 0.318, 0.318)
Tm (0.461, 0.461, 0.461)
Tm (0.539, 0.539, 0.539)
Tm (0.682, 0.682, 0.682)
Tm (0.764, 0.764, 0.764)

Material: PrHo4Cu
Method: DFT, PBE
State: optimized geometry

Density ... 8.401 g/cm³
Total magnetization ... 0.00 μB/f.u.
E_form ... -50.8 meV/atom
Space group ... P4/mmm (123)

Cell lengths 3.534, 3.534, 13.678 Å; angles 90.00, 90.00, 90.00 degrees
Element x y z (fractional)
Pr (0.000, 0.000, 0.000)
Ho (0.000, 0.000, 0.378)
Ho (0.000, 0.000, 0.622)
Ho (0.500, 0.500, 0.190)
Ho (0.500, 0.500, 0.810)
Cu (0.500, 0.500, 0.500)

Material: LuH3Pt
Method: DFT, PBE
State: optimized geometry

Total energy ... -4.52 eV per atom
Density ... 12.438 g/cm³
Total magnetization ... 0.00 μB/f.u.
Space group ... Pm-3m (221)

Cell lengths 3.679, 3.679, 3.679 Å; angles 90.00, 90.00, 90.00 degrees
Element x y z (fractional)
Lu (0.000, 0.000, 0.000)
H (0.000, 0.500, 0.500)
H (0.500, 0.000, 0.500)
H (0.500, 0.500, 0.000)
Pt (0.500, 0.500, 0.500)

Material: CoNi2Sb
Method: DFT, PBE
State: optimized geometry

Total energy ... -5.77 eV per atom
Density ... 9.637 g/cm³
Total magnetization ... 0.00 μB/f.u.
Space group ... P4/mmm (123)

Cell lengths 3.687, 3.687, 3.778 Å; angles 90.00, 90.00, 90.00 degrees
Element x y z (fractional)
Co (0.000, 0.000, 0.000)
Ni (0.000, 0.500, 0.500)
Ni (0.500, 0.000, 0.500)
Sb (0.500, 0.500, 0.000)

Material: SmCu2Br6
Method: DFT, PBE
State: optimized geometry

Density ... 3.854 g/cm³
Total magnetization ... 0.67 μB/f.u.
Space group ... C2/c (15)
Energy relative to the lowest polymorph listed for this composition ... 0 meV per atom

Cell lengths 10.096, 10.096, 7.126 Å; angles 108.44, 108.44, 80.77 degrees
Element x y z (fractional)
Sm (0.092, 0.908, 0.750)
Sm (0.908, 0.092, 0.250)
Cu (0.346, 0.522, 0.841)
Cu (0.478, 0.654, 0.659)
Cu (0.522, 0.346, 0.341)
Cu (0.654, 0.478, 0.159)
Br (0.057, 0.182, 0.679)
Br (0.123, 0.645, 0.841)
Br (0.182, 0.057, 0.179)
Br (0.323, 0.456, 0.463)
Br (0.355, 0.877, 0.659)
Br (0.456, 0.323, 0.963)
Br (0.544, 0.677, 0.037)
Br (0.645, 0.123, 0.341)
Br (0.677, 0.544, 0.537)
Br (0.818, 0.943, 0.821)
Br (0.877, 0.355, 0.159)
Br (0.943, 0.818, 0.321)

Material: TmHfTlIn
Method: DFT, PBE
State: optimized geometry

Density ... 11.492 g/cm³
Total magnetization ... 0.00 μB/f.u.
E_form ... -65.0 meV/atom
Space group ... F-43m (216)

Cell lengths 5.145, 5.145, 5.145 Å; angles 60.00, 60.00, 60.00 degrees
Element x y z (fractional)
Tm (0.000, 0.000, 0.000)
Hf (0.500, 0.500, 0.500)
Tl (0.250, 0.250, 0.250)
In (0.750, 0.750, 0.750)

Material: Mg2TeAu
Method: DFT, PBE
State: optimized geometry

Total energy ... -2.78 eV per atom
Density ... 5.261 g/cm³
Total magnetization ... 0.00 μB/f.u.
Space group ... I-42d (122)

Cell lengths 8.705, 8.705, 8.705 Å; angles 143.17, 143.17, 53.07 degrees
Element x y z (fractional)
Mg (0.090, 0.625, 0.965)
Mg (0.375, 0.340, 0.465)
Mg (0.660, 0.125, 0.035)
Mg (0.875, 0.910, 0.535)
Te (0.250, 0.750, 0.500)
Te (0.500, 0.500, 0.000)
Au (0.000, 0.000, 0.000)
Au (0.750, 0.250, 0.500)

Material: Ni2PbCl
Method: DFT, PBE
State: optimized geometry

Density ... 8.243 g/cm³
Total magnetization ... 0.00 μB/f.u.
Space group ... P4/mmm (123)
Energy relative to the lowest polymorph listed for this composition ... 287 meV per atom

Cell lengths 3.409, 3.409, 6.241 Å; angles 90.00, 90.00, 90.00 degrees
Element x y z (fractional)
Ni (0.000, 0.000, 0.202)
Ni (0.000, 0.000, 0.798)
Pb (0.500, 0.500, 0.000)
Cl (0.500, 0.500, 0.500)

Material: Sm7DySc2
Method: DFT, PBE
State: optimized geometry

Density ... 5.678 g/cm³
Total magnetization ... 0.00 μB/f.u.
E_form ... 618.9 meV/atom
Space group ... Cmmm (65)

Cell lengths 8.864, 8.864, 5.576 Å; angles 90.00, 90.00, 119.43 degrees
Element x y z (fractional)
Sm (0.000, 0.000, 0.000)
Sm (0.197, 0.438, 0.000)
Sm (0.255, 0.745, 0.500)
Sm (0.438, 0.197, 0.000)
Sm (0.562, 0.803, 0.000)
Sm (0.745, 0.255, 0.500)
Sm (0.803, 0.562, 0.000)
Dy (0.500, 0.500, 0.500)
Sc (0.204, 0.796, 0.000)
Sc (0.796, 0.204, 0.000)

Material: CsMnPdCl6
Method: DFT, PBE
State: optimized geometry

Total energy ... -3.92 eV per atom
Density ... 2.922 g/cm³
Total magnetization ... 6.02 μB/f.u.
Space group ... P1 (1)

Cell lengths 6.466, 6.470, 7.823 Å; angles 91.00, 91.12, 118.26 degrees
Element x y z (fractional)
Cs (0.000, 0.000, 0.000)
Mn (0.669, 0.329, 0.500)
Pd (0.327, 0.672, 0.500)
Cl (0.004, 0.637, 0.327)
Cl (0.359, 0.381, 0.329)
Cl (0.363, 0.995, 0.673)
Cl (0.616, 0.008, 0.306)
Cl (0.619, 0.640, 0.671)
Cl (0.992, 0.383, 0.694)

Material: Be4FeB
Method: DFT, PBE
State: optimized geometry

Density ... 3.131 g/cm³
Total magnetization ... 1.59 μB/f.u.
E_form ... 140.8 meV/atom
Space group ... P2/m (10)

Cell lengths 4.085, 3.288, 4.107 Å; angles 90.00, 99.11, 90.00 degrees
Element x y z (fractional)
Be (0.048, 0.000, 0.256)
Be (0.279, 0.500, 0.612)
Be (0.721, 0.500, 0.388)
Be (0.952, 0.000, 0.744)
Fe (0.500, 0.000, 0.000)
B (0.500, 0.000, 0.500)

Material: CuAu2Cl
Method: DFT, PBE
State: optimized geometry

Density ... 11.421 g/cm³
Total magnetization ... 0.00 μB/f.u.
Space group ... R-3m (166)
Energy relative to the lowest polymorph listed for this composition ... 185 meV per atom

Cell lengths 8.226, 8.226, 8.226 Å; angles 22.53, 22.53, 22.53 degrees
Element x y z (fractional)
Cu (0.000, 0.000, 0.000)
Au (0.257, 0.257, 0.257)
Au (0.743, 0.743, 0.743)
Cl (0.500, 0.500, 0.500)

Material: BaNdAg
Method: DFT, PBE
State: optimized geometry

Density ... 5.948 g/cm³
Total magnetization ... 0.00 μB/f.u.
E_form ... 68.3 meV/atom
Space group ... P3m1 (156)
Energy relative to the lowest polymorph listed for this composition ... 142 meV per atom

Cell lengths 5.300, 5.300, 4.469 Å; angles 90.00, 90.00, 120.00 degrees
Element x y z (fractional)
Ba (0.000, 0.000, 0.000)
Nd (0.333, 0.667, 0.519)
Ag (0.667, 0.333, 0.444)

Material: Mg3As
Method: DFT, PBE
State: optimized geometry

Density ... 2.921 g/cm³
Total magnetization ... 0.00 μB/f.u.
E_form ... -90.8 meV/atom
Space group ... Pmm2 (25)

Cell lengths 3.113, 5.109, 5.284 Å; angles 90.00, 90.00, 90.00 degrees
Element x y z (fractional)
Mg (0.000, 0.000, 0.000)
Mg (0.000, 0.500, 0.343)
Mg (0.500, 0.500, 0.833)
As (0.500, 0.000, 0.505)

Material: Sc3Ni2Pd2
Method: DFT, PBE
State: optimized geometry

Density ... 6.563 g/cm³
Total magnetization ... 0.00 μB/f.u.
E_form ... -639.4 meV/atom
Space group ... P-1 (2)

Cell lengths 3.931, 4.901, 6.669 Å; angles 87.50, 89.96, 66.47 degrees
Element x y z (fractional)
Sc (0.000, 0.000, 0.000)
Sc (0.362, 0.275, 0.349)
Sc (0.638, 0.725, 0.651)
Ni (0.077, 0.846, 0.367)
Ni (0.923, 0.154, 0.633)
Pd (0.307, 0.386, 0.857)
Pd (0.693, 0.614, 0.143)

Material: K2ZrSe
Method: DFT, PBE
State: optimized geometry

Total energy ... -3.18 eV per atom
Density ... 3.304 g/cm³
Total magnetization ... 3.64 μB/f.u.
Space group ... I-4m2 (119)

Cell lengths 6.097, 6.097, 6.097 Å; angles 131.40, 131.40, 71.17 degrees
Element x y z (fractional)
K (0.000, 0.000, 0.000)
K (0.750, 0.250, 0.500)
Zr (0.500, 0.500, 0.000)
Se (0.250, 0.750, 0.500)

Material: LaPrDyTm
Method: DFT, PBE
State: optimized geometry

Density ... 7.468 g/cm³
Total magnetization ... 0.00 μB/f.u.
E_form ... 90.4 meV/atom
Space group ... F-43m (216)
Energy relative to the lowest polymorph listed for this composition ... 0 meV per atom

Cell lengths 5.771, 5.771, 5.771 Å; angles 60.00, 60.00, 60.00 degrees
Element x y z (fractional)
La (0.000, 0.000, 0.000)
Pr (0.500, 0.500, 0.500)
Dy (0.250, 0.250, 0.250)
Tm (0.750, 0.750, 0.750)

Material: Li2TiZn2
Method: DFT, PBE
State: optimized geometry

Density ... 4.254 g/cm³
Total magnetization ... 0.00 μB/f.u.
E_form ... 60.6 meV/atom
Space group ... P4/mbm (127)
Energy relative to the lowest polymorph listed for this composition ... 100 meV per atom

Cell lengths 7.505, 7.505, 2.669 Å; angles 90.00, 90.00, 90.00 degrees
Element x y z (fractional)
Li (0.165, 0.335, 0.000)
Li (0.335, 0.835, 0.000)
Li (0.665, 0.165, 0.000)
Li (0.835, 0.665, 0.000)
Ti (0.000, 0.000, 0.500)
Ti (0.500, 0.500, 0.500)
Zn (0.134, 0.634, 0.500)
Zn (0.366, 0.134, 0.500)
Zn (0.634, 0.866, 0.500)
Zn (0.866, 0.366, 0.500)

Material: ZrUGa
Method: DFT, PBE
State: optimized geometry

Density ... 10.436 g/cm³
Total magnetization ... 2.51 μB/f.u.
E_form ... 58.6 meV/atom
Space group ... P-6m2 (187)

Cell lengths 5.011, 5.011, 2.919 Å; angles 90.00, 90.00, 120.00 degrees
Element x y z (fractional)
Zr (0.000, 0.000, 0.000)
U (0.667, 0.333, 0.500)
Ga (0.333, 0.667, 0.000)